(1)
Ca2TbHfP4 PBE optimized geometry; M_tot = 0.00 μB/cell; space group = P2/m; ΔE_f = -1.23 eV/atom
1.0
6.857 0.000 0.000
0.000 3.936 0.000
-2.257 0.000 6.665
Ca Tb Hf P
2 1 1 4
direct
0.000 0.000 0.000 Ca
0.500 0.500 0.000 Ca
0.000 0.500 0.500 Tb
0.500 0.000 0.500 Hf
0.259 0.000 0.731 P
0.272 0.500 0.276 P
0.728 0.500 0.724 P
0.741 0.000 0.269 P


(2)
Pm2Y7 PBE optimized geometry; M_tot = 2.26 μB/cell; space group = P-62m; relative energy among the computed polymorphs = 14.1 meV/atom; ΔE_f = 0.03 eV/atom
1.0
9.762 0.000 0.000
-4.881 8.455 0.000
0.000 0.000 3.602
Pm Y
2 7
direct
0.333 0.667 0.000 Pm
0.667 0.333 0.000 Pm
0.000 0.000 0.500 Y
0.000 0.306 0.000 Y
0.000 0.642 0.500 Y
0.306 0.000 0.000 Y
0.358 0.358 0.500 Y
0.642 0.000 0.500 Y
0.694 0.694 0.000 Y


(3)
TaTi2CoSe PBE optimized geometry; M_tot = 0.00 μB/cell; space group = P4/mmm; formation energy from raw total energies = 1.08 eV per atom
1.0
4.905 0.000 0.000
0.000 4.905 0.000
0.000 0.000 4.377
Ta Ti Co Se
1 2 1 1
direct
0.000 0.000 0.000 Ta
0.000 0.500 0.000 Ti
0.500 0.000 0.000 Ti
0.000 0.000 0.500 Co
0.500 0.500 0.500 Se


(4)
Mg2ZrGe PBE optimized geometry; M_tot = 0.00 μB/cell; space group = I-42d; ΔE_f = 0.05 eV/atom
1.0
-3.984 3.984 2.771
3.984 -3.984 2.771
3.984 3.984 -2.771
Mg Zr Ge
4 2 2
direct
0.080 0.625 0.955 Mg
0.375 0.330 0.455 Mg
0.670 0.125 0.045 Mg
0.875 0.920 0.545 Mg
0.250 0.750 0.500 Zr
0.500 0.500 0.000 Zr
0.000 0.000 0.000 Ge
0.750 0.250 0.500 Ge


(5)
Na2MnI5 PBE optimized geometry; M_tot = 3.96 μB/cell; space group = Cm; relative energy among the computed polymorphs = 0.0 meV/atom; formation energy from raw total energies = -0.76 eV per atom
1.0
5.839 -5.132 0.000
5.839 5.132 0.000
-4.213 0.000 5.793
Na Mn I
2 1 5
direct
0.219 0.781 0.000 Na
0.781 0.219 0.000 Na
0.181 0.181 0.592 Mn
0.179 0.179 0.976 I
0.441 0.921 0.550 I
0.464 0.464 0.797 I
0.908 0.908 0.217 I
0.921 0.441 0.550 I


(6)
CaScMo2 PBE optimized geometry; M_tot = 0.00 μB/cell; space group = Fm-3m; relative energy among the computed polymorphs = 701.5 meV/atom; ΔE_f = 0.91 eV/atom
1.0
0.000 3.410 3.410
3.410 0.000 3.410
3.410 3.410 0.000
Ca Sc Mo
1 1 2
direct
0.000 0.000 0.000 Ca
0.500 0.500 0.500 Sc
0.250 0.250 0.250 Mo
0.750 0.750 0.750 Mo


Repeat the first record exactly.
Ca2TbHfP4 PBE optimized geometry; M_tot = 0.00 μB/cell; space group = P2/m; ΔE_f = -1.23 eV/atom
1.0
6.857 0.000 0.000
0.000 3.936 0.000
-2.257 0.000 6.665
Ca Tb Hf P
2 1 1 4
direct
0.000 0.000 0.000 Ca
0.500 0.500 0.000 Ca
0.000 0.500 0.500 Tb
0.500 0.000 0.500 Hf
0.259 0.000 0.731 P
0.272 0.500 0.276 P
0.728 0.500 0.724 P
0.741 0.000 0.269 P


Q: What is the M_tot in the first record?
A: 0.00 μB/cell